# 1
Computed, not measured: an optimized crystal structure of USi3Ni3 at the PBE level of DFT.

Calculated values
Crystal system: cubic
Relative energy among the computed polymorphs in kJ/mol of atoms: 33.91
Space group: Pm-3n (223)
Raw formation energy in eV/atom: -0.097
Total magnetization in μB/f.u.: 2.9

Cell and atoms, written as POSCAR:
```
USi3Ni3
1.0
6.170 0.000 0.000
0.000 6.170 0.000
0.000 0.000 6.170
U Si Ni
2 6 6
Direct
0.000 0.000 0.000
0.500 0.500 0.500
0.000 0.250 0.500
0.000 0.750 0.500
0.250 0.500 0.000
0.500 0.000 0.250
0.500 0.000 0.750
0.750 0.500 0.000
0.000 0.500 0.250
0.000 0.500 0.750
0.250 0.000 0.500
0.500 0.250 0.000
0.500 0.750 0.000
0.750 0.000 0.500
```

=====

# 2
Computed, not measured: an optimized crystal structure of U2Si5Ni3 at the PBE level of DFT.

Calculated values
Crystal system: orthorhombic
Space group: Ibam (72)
Raw formation energy in eV/atom: -0.539
Total magnetization in μB/f.u.: 4.7

Cell and atoms, written as POSCAR:
```
U2Si5Ni3
1.0
-4.770 5.587 2.827
4.770 -5.587 2.827
4.770 5.587 -2.827
U Si Ni
4 10 6
Direct
0.133 0.234 0.368
0.367 0.734 0.101
0.633 0.266 0.899
0.867 0.766 0.632
0.023 0.750 0.273
0.105 0.655 0.760
0.250 0.250 0.000
0.395 0.155 0.551
0.477 0.750 0.727
0.523 0.250 0.273
0.605 0.845 0.449
0.750 0.750 0.000
0.895 0.345 0.240
0.977 0.250 0.727
0.137 0.892 0.029
0.250 0.750 0.500
0.363 0.392 0.755
0.637 0.608 0.245
0.750 0.250 0.500
0.863 0.108 0.971
```

=====

# 3
Computed, not measured: an optimized crystal structure of U2SiNi6 at the PBE level of DFT.

Calculated values
Crystal system: trigonal
Space group: P-3m1 (164)
Raw formation energy in eV/atom: -0.344
Total magnetization in μB/f.u.: 2.4

Cell and atoms, written as POSCAR:
```
U2SiNi6
1.0
5.118 0.000 0.000
-2.559 4.433 0.000
0.000 0.000 5.579
U Si Ni
2 1 6
Direct
0.333 0.667 0.317
0.667 0.333 0.683
0.000 0.000 0.500
0.172 0.344 0.823
0.172 0.828 0.823
0.344 0.172 0.177
0.656 0.828 0.823
0.828 0.172 0.177
0.828 0.656 0.177
```

=====

# 4
Computed, not measured: an optimized crystal structure of U3Si4Ni7 at the PBE level of DFT.

Calculated values
Crystal system: monoclinic
Space group: C2/m (12)
Raw formation energy in eV/atom: -0.477
Total magnetization in μB/f.u.: 2.8

Cell and atoms, written as POSCAR:
```
U3Si4Ni7
1.0
7.151 -1.996 0.000
7.151 1.996 0.000
-5.107 0.000 7.088
U Si Ni
3 4 7
Direct
0.000 0.000 0.000
0.309 0.309 0.305
0.691 0.691 0.695
0.123 0.123 0.399
0.337 0.337 0.979
0.663 0.663 0.021
0.877 0.877 0.601
0.000 0.000 0.500
0.133 0.133 0.856
0.319 0.319 0.688
0.496 0.496 0.696
0.504 0.504 0.304
0.681 0.681 0.312
0.867 0.867 0.144
```